Arrangement A

FeAuS2Cl SCAN single point on PBEsol structure; space group = P4/mmm (123); Fermi-level density of states = 3.2 states/eV per cell; calculated density = 6.6 g cm⁻³
1.0
-2.857 3.326 0.301
-3.340 -2.843 -0.279
-0.017 -0.426 4.547
S Au Fe Cl
2 1 1 1
Cartesian
-1.670 -1.422 -0.140 S
-1.429 1.663 0.151 S
-3.107 0.028 2.285 Au
0.000 0.000 0.000 Fe
-0.009 -0.213 2.274 Cl

Arrangement B

FeAuS2Cl SCAN single point on PBEsol structure; space group = P4/mmm (123); Fermi-level density of states = 1.8 states/eV per cell; calculated density = 5.4 g cm⁻³
1.0
4.711 0.000 0.000
0.000 4.795 0.000
0.000 0.000 4.795
S Cl Au Fe
2 1 1 1
Cartesian
0.000 0.000 2.398 S
0.000 2.398 0.000 S
2.355 0.000 0.000 Cl
0.000 0.000 0.000 Au
2.355 2.398 2.398 Fe

Going by the computed energies, the most stable comes first: arrangement A, arrangement B.

Arrangement A

InAuCl SCAN single point on PBEsol structure; space group = F-43m (216); Fermi-level density of states = 3.3 states/eV per cell; calculated density = 7.6 g cm⁻³
1.0
4.756 0.000 0.000
2.378 4.119 0.000
2.378 1.373 3.883
Cl In Au
1 1 1
Cartesian
7.134 4.119 2.912 Cl
0.000 0.000 0.000 In
4.756 2.746 1.942 Au

Arrangement B

InAuCl SCAN single point on PBEsol structure; space group = I4mm (107); Fermi-level density of states = 0.9 states/eV per cell; calculated density = 9.1 g cm⁻³
1.0
-2.387 0.445 -2.355
-2.368 0.072 2.414
2.979 5.218 0.397
Au Cl In
1 1 1
Cartesian
-1.800 5.519 0.439 Au
-2.171 2.143 0.176 Cl
0.418 3.809 0.297 In

Going by the computed energies, the most stable comes first: arrangement B, arrangement A.

Arrangement A

InAu2Cl SCAN single point on PBEsol structure; space group = F-43m (216); Fermi-level density of states = 1.9 states/eV per cell; calculated density = 11.4 g cm⁻³
1.0
4.825 0.000 0.000
2.412 4.179 0.000
2.412 1.393 3.940
Au In Cl
2 1 1
Cartesian
2.412 1.393 0.985 Au
0.000 0.000 0.000 Au
7.237 4.179 2.955 In
4.825 2.786 1.970 Cl

Arrangement B

InAu2Cl SCAN single point on PBEsol structure; space group = C2/m (12); Fermi-level density of states = 0.6 states/eV per cell; calculated density = 11.2 g cm⁻³
1.0
3.564 0.009 0.000
0.002 4.268 0.000
-1.783 -2.138 5.322
Au In Cl
2 1 1
Cartesian
0.890 -1.065 2.661 Au
-0.890 1.065 2.661 Au
1.783 2.138 0.000 In
0.000 0.000 0.000 Cl

Going by the computed energies, the most stable comes first: arrangement B, arrangement A.

Arrangement A

LiAuCl2 SCAN single point on PBEsol structure; space group = Amm2 (38); Fermi-level density of states = 0.6 states/eV per cell; calculated density = 5.7 g cm⁻³
1.0
-3.020 0.394 -1.923
1.901 -0.517 -3.092
0.488 -6.202 1.337
Cl Li Au
2 1 1
Cartesian
-0.534 -3.137 0.196 Cl
-1.577 -6.042 -2.134 Cl
-0.980 -5.760 0.360 Li
-1.093 -3.198 -2.311 Au

Arrangement B

LiAuCl2 SCAN single point on PBEsol structure; space group = R-3m (166); Fermi-level density of states = 0.0 states/eV per cell; calculated density = 5.5 g cm⁻³
1.0
3.647 0.000 0.000
-1.823 3.158 -0.052
0.000 -1.993 7.235
Au Cl Li
1 2 1
Cartesian
1.823 -0.996 3.617 Au
0.000 2.127 1.296 Cl
1.823 -0.962 5.887 Cl
0.000 0.000 0.000 Li

Arrangement C

LiAuCl2 SCAN single point on PBEsol structure; space group = I-4m2 (119); Fermi-level density of states = 0.5 states/eV per cell; calculated density = 5.4 g cm⁻³
1.0
3.570 0.000 0.000
0.000 3.570 0.000
-1.785 -1.785 6.617
Cl Au Li
2 1 1
Cartesian
1.785 0.000 3.308 Cl
0.000 0.000 0.000 Cl
0.000 1.785 3.308 Au
1.785 1.785 0.000 Li

Going by the computed energies, the most stable comes first: arrangement B, arrangement A, arrangement C.